Entry 1:
This record from Alexandria via LeMat-Bulk describes a geometry-optimized H2PtI structure. The functional is PBE-GGA.

Output
ρ (g/cm³): 10.8
Energy above the most stable polymorph in this dataset (meV per atom): 852.7
Space-group type: Fm-3m, No. 225

abc: 4.1267 4.1267 4.1267
angles: 60.00 60.00 60.00
Closest atoms and distances in Å follow each position.
Fractional coordinates of all 4 atoms:
H (0.2500, 0.2500, 0.2500)  4 I 2.53, 4 Pt 2.53
H (0.7500, 0.7500, 0.7500)  4 Pt 2.53, 4 I 2.53
Pt (0.0000, 0.0000, 0.0000)  8 H 2.53
I (0.5000, 0.5000, 0.5000)  8 H 2.53

=====

Entry 2:
This record from Alexandria via LeMat-Bulk describes a geometry-optimized TlReSb2 structure. The functional is PBE-GGA.

Output
ρ (g/cm³): 11.7
Raw formation energy (eV per formula unit): 4.01
Energy above the most stable polymorph in this dataset (meV per atom): 781.9
Space-group type: Pmmm, No. 47

abc: 3.6216 4.9735 4.9778
angles: 90.00 90.00 90.00
Closest atoms and distances in Å follow each position.
Fractional coordinates of all 4 atoms:
Tl (0.0000, 0.0000, 0.0000)  4 Re 3.08, 4 Sb 3.08
Re (0.5000, 0.5000, 0.0000)  4 Tl 3.08, 4 Sb 3.08
Sb (0.0000, 0.5000, 0.5000)  4 Sb 3.08, 4 Re 3.08
Sb (0.5000, 0.0000, 0.5000)  4 Sb 3.08, 4 Tl 3.08

=====

Entry 3:
This record from Alexandria via LeMat-Bulk describes a geometry-optimized TbPm3Bi2 structure. The functional is PBE-GGA.

Output
Energy relative to the elements (eV/atom): -0.4065
ρ (g/cm³): 7.9
Energy above the most stable polymorph in this dataset (meV per atom): 240.9
Space-group type: Ibam, No. 72

abc: 9.2009 9.2009 9.2009
angles: 134.32 71.27 128.49
Closest atoms and distances in Å follow each position.
Fractional coordinates of all 12 atoms:
Tb (0.0000, 0.0000, 0.0000)  2 Bi 3.27, 4 Pm 3.61
Tb (0.5000, 0.5000, 0.0000)  2 Bi 3.27, 4 Pm 3.61
Pm (0.0492, 0.2500, 0.7992)  4 Bi 3.22-3.24, 2 Tb 3.61
Pm (0.2500, 0.7500, 0.5000)  4 Bi 3.20
Pm (0.4508, 0.2500, 0.2008)  4 Bi 3.22-3.24, 2 Tb 3.61
Pm (0.5492, 0.7500, 0.7992)  4 Bi 3.22-3.24, 2 Tb 3.61
Pm (0.7500, 0.2500, 0.5000)  4 Bi 3.20
Pm (0.9508, 0.7500, 0.2008)  4 Bi 3.22-3.24, 2 Tb 3.61
Bi (0.1480, 0.6636, 0.8116)  6 Pm 3.20-3.24, 1 Tb 3.27
Bi (0.3520, 0.1636, 0.5156)  6 Pm 3.20-3.24, 1 Tb 3.27
Bi (0.6480, 0.8364, 0.4844)  6 Pm 3.20-3.24, 1 Tb 3.27
Bi (0.8520, 0.3364, 0.1884)  6 Pm 3.20-3.24, 1 Tb 3.27

=====

Entry 4:
This record from Alexandria via LeMat-Bulk describes a geometry-optimized Li2YAl structure. The functional is PBE-GGA.

Output
Energy relative to the elements (eV/atom): 0.0871
ρ (g/cm³): 2.3
Space-group type: I-42d, No. 122

abc: 10.6844 10.6844 10.6844
angles: 157.06 157.06 32.66
Closest atoms and distances in Å follow each position.
Fractional coordinates of all 8 atoms:
Li (0.0491, 0.1250, 0.4241)  2 Li 2.59, 2 Al 2.87
Li (0.3750, 0.9509, 0.0759)  2 Li 2.59, 2 Al 2.87
Li (0.7009, 0.6250, 0.5759)  2 Li 2.59, 2 Al 2.87
Li (0.8750, 0.2991, 0.9241)  2 Li 2.59, 2 Al 2.87
Y (0.2500, 0.7500, 0.5000)  4 Al 3.00, 4 Li 3.10
Y (0.5000, 0.5000, 0.0000)  4 Al 3.00, 4 Li 3.10
Al (0.0000, 0.0000, 0.0000)  4 Li 2.87, 4 Y 3.00
Al (0.7500, 0.2500, 0.5000)  4 Li 2.87, 4 Y 3.00